NpH3 | GGA-PBE | optimized geometry

Cell: 3.878 3.878 3.878 Å, 129.07 129.07 74.89°
Each line ends with the local moment (μB).
Positions (direct):
H (0.750, 0.250, 0.500)  -0.02
H (0.500, 0.500, 0.000)  -0.03
Np (0.000, 0.000, 0.000)  3.83
H (0.250, 0.750, 0.500)  -0.02

Calculated values
* VASP energy: -5.991 eV/atom
* total magnetic moment: 4.000 μB per cell
* density of states at the Fermi level: 1.18 states/eV/atom
* crystal system: tetragonal
* SG: I4/mmm

NpH2 | GGA-PBE | optimized geometry

Cell: 3.094 3.094 3.944 Å, 113.35 113.34 89.52°
Each line ends with the local moment (μB).
Positions (direct):
Np (0.000, 0.500, 0.000)  4.41
H (0.652, 0.152, 0.302)  -0.02
H (0.348, 0.848, 0.698)  -0.02

Calculated values
* VASP energy: -6.642 eV/atom
* total magnetic moment: 4.756 μB per cell
* density of states at the Fermi level: 1.44 states/eV/atom
* crystal system: orthorhombic
* SG: Fmmm